# 1
The following is a DFT calculation (PBE) of a relaxed structure of KSrAsBr2.

a = 6.009 Å, b = 6.009 Å, c = 6.239 Å
α = 90.00°, β = 90.00°, γ = 90.00°
Fractional positions:
K 0.000 0.000 0.000
Sr 0.500 0.500 0.500
As 0.500 0.500 0.000
Br 0.000 0.500 0.500
Br 0.500 0.000 0.500

Results
ΔE_f (raw)   -1.04 eV per atom
Fermi-level density of states   1.7 states/eV/cell
Energy relative to the lowest polymorph listed for this composition   0.000 eV/atom
Size of the total moment   2.0 μB/f.u.

=====

# 2
The following is a DFT calculation (PBE) of a relaxed structure of CaY2Al2.

a = 7.849 Å, b = 7.849 Å, c = 7.849 Å
α = 146.10°, β = 146.10°, γ = 48.70°
Fractional positions:
Ca 0.000 0.000 0.000
Y 0.381 0.381 0.000
Y 0.619 0.619 0.000
Al 0.250 0.750 0.500
Al 0.750 0.250 0.500

Results
Fermi-level density of states   4.7 states/eV/cell
Formation enthalpy at 0 K   0.1559 eV/atom
Energy relative to the lowest polymorph listed for this composition   0.448 eV/atom
Size of the total moment   0.5 μB/f.u.

=====

# 3
The following is a DFT calculation (PBE) of a relaxed structure of ScCd2Ru.

a = 9.501 Å, b = 9.501 Å, c = 9.501 Å
α = 19.11°, β = 19.11°, γ = 19.11°
Fractional positions:
Sc 0.000 0.000 0.000
Cd 0.520 0.520 0.520
Cd 0.760 0.760 0.760
Ru 0.267 0.267 0.267

Results
Fermi-level density of states   1.9 states/eV/cell
Formation enthalpy at 0 K   -0.0218 eV/atom
Size of the total moment   0.3 μB/f.u.

=====

# 4
The following is a DFT calculation (PBE) of a relaxed structure of PrEr4Zn.

a = 3.553 Å, b = 3.553 Å, c = 13.673 Å
α = 90.00°, β = 90.00°, γ = 90.00°
Fractional positions:
Pr 0.000 0.000 0.000
Er 0.000 0.000 0.372
Er 0.000 0.000 0.628
Er 0.500 0.500 0.188
Er 0.500 0.500 0.812
Zn 0.500 0.500 0.500

Results
Fermi-level density of states   8.3 states/eV/cell
Formation enthalpy at 0 K   -0.0935 eV/atom
Size of the total moment   0.0 μB/f.u.

=====

Which of these has the lowest Fermi-level density of states?
KSrAsBr2